Record 1
! PBE-GGA Lu2MgIn, relaxed; values from VASP
&SYSTEM
  ibrav = 0, nat = 8, ntyp = 3
/
ATOMIC_SPECIES
In 114.82 In.upf
Mg 24.30 Mg.upf
Lu 174.97 Lu.upf
ATOMIC_POSITIONS crystal
In 0.333 0.667 0.250
Mg 0.000 0.000 0.000
Lu 0.333 0.667 0.583
Lu 0.667 0.333 0.083
Lu 0.333 0.667 0.917
In 0.667 0.333 0.750
Mg 0.000 0.000 0.500
Lu 0.667 0.333 0.417
CELL_PARAMETERS angstrom
2.609 -4.519 0.000
2.609 4.519 0.000
0.000 0.000 9.656
! Magnetization in μB per atom: 0.00
! Energy relative to the lowest polymorph listed for this composition in meV/atom: 132
! Electronic total energy in eV/atom: -3.253



Record 2
! PBE-GGA In2FeAgCl6, relaxed; values from VASP
&SYSTEM
  ibrav = 0, nat = 10, ntyp = 4
/
ATOMIC_SPECIES
Cl 35.45 Cl.upf
Ag 107.87 Ag.upf
Fe 55.84 Fe.upf
In 114.82 In.upf
ATOMIC_POSITIONS crystal
Cl 0.763 0.237 0.237
Ag 0.500 0.500 0.500
Cl 0.763 0.237 0.763
Cl 0.237 0.763 0.763
Cl 0.237 0.237 0.763
Fe 0.000 0.000 0.000
Cl 0.763 0.763 0.237
Cl 0.237 0.763 0.237
In 0.250 0.250 0.250
In 0.750 0.750 0.750
CELL_PARAMETERS angstrom
0.000 5.028 5.028
5.028 0.000 5.028
5.028 5.028 0.000
! Magnetization in μB per atom: 0.47
! Electronic total energy in eV/atom: -3.458



Record 3
! PBE-GGA CuSbPtW, relaxed; values from VASP
&SYSTEM
  ibrav = 0, nat = 4, ntyp = 4
/
ATOMIC_SPECIES
W 183.84 W.upf
Cu 63.55 Cu.upf
Sb 121.76 Sb.upf
Pt 195.08 Pt.upf
ATOMIC_POSITIONS crystal
W 0.250 0.250 0.250
Cu 0.750 0.750 0.750
Sb 0.000 0.000 0.000
Pt 0.500 0.500 0.500
CELL_PARAMETERS angstrom
-2.441 1.769 3.402
-4.541 -0.146 -0.145
-2.277 -2.737 2.826
! Magnetization in μB per atom: 0.02
! Energy relative to the lowest polymorph listed for this composition in meV/atom: 0
! Electronic total energy in eV/atom: -6.408



Record 4
! PBE-GGA CsYAlAu, relaxed; values from VASP
&SYSTEM
  ibrav = 0, nat = 4, ntyp = 4
/
ATOMIC_SPECIES
Cs 132.91 Cs.upf
Au 196.97 Au.upf
Y 88.91 Y.upf
Al 26.98 Al.upf
ATOMIC_POSITIONS crystal
Cs 0.500 0.500 0.500
Au 0.750 0.750 0.750
Y 0.000 0.000 0.000
Al 0.250 0.250 0.250
CELL_PARAMETERS angstrom
0.000 3.897 3.897
3.897 0.000 3.897
3.897 3.897 0.000
! Magnetization in μB per atom: 0.00
! Energy relative to the lowest polymorph listed for this composition in meV/atom: 25
! Electronic total energy in eV/atom: -3.334



Record 5
! PBE-GGA Os3N4, relaxed; values from VASP
&SYSTEM
  ibrav = 0, nat = 7, ntyp = 2
/
ATOMIC_SPECIES
N 14.01 N.upf
Os 190.23 Os.upf
ATOMIC_POSITIONS crystal
N 0.000 0.000 0.000
Os 0.000 0.500 0.000
Os 0.000 0.000 0.500
N 0.000 0.500 0.500
N 0.500 0.500 0.000
N 0.500 0.000 0.500
Os 0.500 0.000 0.000
CELL_PARAMETERS angstrom
4.197 0.000 0.000
0.000 4.197 0.000
0.000 0.000 4.197
! Magnetization in μB per atom: 0.01
! Electronic total energy in eV/atom: -8.319



Record 6
! PBE-GGA PmAl4Ag8, relaxed; values from VASP
&SYSTEM
  ibrav = 0, nat = 13, ntyp = 3
/
ATOMIC_SPECIES
Ag 107.87 Ag.upf
Pm 145.00 Pm.upf
Al 26.98 Al.upf
ATOMIC_POSITIONS crystal
Ag 0.717 0.500 0.217
Ag 0.283 0.500 0.783
Ag 0.500 0.717 0.217
Pm 0.000 0.000 0.000
Al 0.500 0.000 0.000
Ag 0.000 0.656 0.656
Ag 0.500 0.283 0.783
Al 0.000 0.000 0.500
Al 0.000 0.500 0.000
Ag 0.344 0.000 0.344
Al 0.500 0.500 0.500
Ag 0.000 0.344 0.344
Ag 0.656 0.000 0.656
CELL_PARAMETERS angstrom
-4.672 4.672 2.684
4.672 -4.672 2.684
4.672 4.672 -2.684
! Magnetization in μB per atom: 0.00
! Electronic total energy in eV/atom: -3.477